This record from Alexandria describes crystalline HfV2InH at its relaxed geometry. The functional is PBE.

Output
Symmetry   P4/mmm (123)
Calculated total energy   -6.855 eV/atom

a b c (Å): 4.0435 4.0435 4.3646
angles (deg): 90.00 90.00 90.00
Fractional positions:
V (0.0000, 0.5000, 0.0000)
V (0.5000, 0.0000, 0.0000)
Hf (0.0000, 0.0000, 0.5000)
H (0.0000, 0.0000, 0.0000)
In (0.5000, 0.5000, 0.5000)